[1]
The following is a PBE calculation of an optimized crystal structure of Y2Pa2Se2S5, from the Alexandria database.

The theoretical density comes out at 4.78 g/cm³. The total energy is -6.982 eV per atom. Its crystal system is tetragonal. As for the raw formation energy: -1570 meV/atom.

The space group is I4/mmm (No. 139) and the conventional cell measures 5.312, 5.312 and 23.613 Å, with angles of 90.00, 90.00 and 90.00 degrees. The asymmetric unit holds Y at (0.000, 0.000, 0.160), Pa at (0.000, 0.000, 0.390), Se at (0.000, 0.000, 0.275), S at (0.000, 0.000, 0.500) and S at (0.000, 0.500, 0.118).

***

[2]
The following is a PBE calculation of an optimized crystal structure of PaSi2S6, from the Alexandria database.

The theoretical density comes out at 3.63 g/cm³. The total energy is -5.855 eV per atom. Its crystal system is monoclinic. As for the raw formation energy: -843 meV/atom.

The space group is C2/c (No. 15) and the conventional cell measures 12.445, 11.467 and 6.251 Å, with angles of 90.00, 100.13 and 90.00 degrees. The asymmetric unit holds Pa at (0.000, 0.114, 0.250), Si at (0.197, 0.425, 0.297), S at (0.125, 0.073, 0.647), S at (0.135, 0.428, 0.598) and S at (0.139, 0.268, 0.143).

***

[3]
The following is a PBE calculation of an optimized crystal structure of PaSi2S8, from the Alexandria database.

The theoretical density comes out at 2.41 g/cm³. The total energy is -5.566 eV per atom. Its crystal system is monoclinic. As for the raw formation energy: -714 meV/atom.

The space group is C2/m (No. 12) and the conventional cell measures 9.671, 12.958 and 6.305 Å, with angles of 90.00, 108.52 and 90.00 degrees. The asymmetric unit holds Pa at (0.000, 0.000, 0.000), Si at (0.224, 0.000, 0.708), S at (0.031, 0.500, 0.169), S at (0.142, 0.132, 0.822) and S at (0.230, 0.000, 0.378).

***

[4]
The following is a PBE calculation of an optimized crystal structure of Pa2SiS, from the Alexandria database.

The theoretical density comes out at 9.65 g/cm³. The total energy is -8.159 eV per atom. Its crystal system is trigonal. As for the raw formation energy: -1023 meV/atom. The value obtained for the energy relative to the lowest polymorph listed for this composition is 0.0047 eV per atom.

The space group is R-3m (No. 166, hexagonal axes) and the conventional cell measures 4.0528, 4.0528 and 18.9525 Å, with angles of 90.00, 90.00 and 120.00 degrees. The asymmetric unit holds Pa at (0.0000, 0.0000, 0.2475), Si at (0.0000, 0.0000, 0.0000) and S at (0.0000, 0.0000, 0.5000).